Rb2PPdF6 | PBE | relaxed

a = 6.1473 Å, b = 6.1473 Å, c = 9.0148 Å
α = 90.00°, β = 90.00°, γ = 90.00°
Closest atoms and distances in Å follow each position.
Space group I4/mmm (No. 139)
Inequivalent atoms, fractional coordinates:
1 Rb 0.0000 0.5000 0.2500  12 F 3.09-3.14
2 P 0.0000 0.0000 0.0000  6 F 1.91-1.93
3 Pd 0.0000 0.0000 0.5000  6 F 2.42-2.60
4 F 0.0000 0.0000 0.2116  1 P 1.91
5 F 0.2218 0.2218 0.0000  1 P 1.93

Values from the calculation:
For the formation energy without anion corrections, the calculation gives -1.976 eV per atom.



P2PdSF | PBE | relaxed

a = 4.6294 Å, b = 4.6294 Å, c = 4.8039 Å
α = 90.00°, β = 90.00°, γ = 90.00°
Closest atoms and distances in Å follow each position.
Space group P4/mmm (No. 123)
Inequivalent atoms, fractional coordinates:
1 P 0.0000 0.5000 0.0000  2 Pd 2.31
2 Pd 0.0000 0.0000 0.0000  4 P 2.31, 2 S 2.40
3 S 0.0000 0.0000 0.5000  2 Pd 2.40
4 F 0.5000 0.5000 0.5000  4 S 3.27, 8 P 3.34

Values from the calculation:
For the formation energy without anion corrections, the calculation gives 0.703 eV per atom.



> Number 2 is which compound?

P2PdSF



What did the first record say?
Rb2PPdF6 | PBE | relaxed

a = 6.1473 Å, b = 6.1473 Å, c = 9.0148 Å
α = 90.00°, β = 90.00°, γ = 90.00°
Closest atoms and distances in Å follow each position.
Space group I4/mmm (No. 139)
Inequivalent atoms, fractional coordinates:
1 Rb 0.0000 0.5000 0.2500  12 F 3.09-3.14
2 P 0.0000 0.0000 0.0000  6 F 1.91-1.93
3 Pd 0.0000 0.0000 0.5000  6 F 2.42-2.60
4 F 0.0000 0.0000 0.2116  1 P 1.91
5 F 0.2218 0.2218 0.0000  1 P 1.93

Values from the calculation:
For the formation energy without anion corrections, the calculation gives -1.976 eV per atom.



> Which of these has the highest formation energy without anion corrections?

P2PdSF



> formation energy without anion corrections of number 1 (Rb2PPdF6)?

-1.976 eV per atom